[1]
# SmAlCu PBE-GGA relaxed
# - magnetization (μB/f.u.) = 0.00
# - E_tot (eV/cell) = -26.3
data_SmAlCu
_space_group_name_H-M_alt 'I 4 m m'
_space_group_IT_number 107
_space_group_name_Hall 'I 4 -2'
_cell_length_a 3.2280
_cell_length_b 3.2280
_cell_length_c 11.2999
_cell_angle_alpha 90.00
_cell_angle_beta 90.00
_cell_angle_gamma 90.00
loop_
_atom_site_label
_atom_site_fract_x
_atom_site_fract_y
_atom_site_fract_z
Sm1 0.0000 0.0000 0.0000
Al1 0.0000 0.0000 0.7022
Cu1 0.0000 0.0000 0.3124

=====

[2]
# BaSr2Ho PBE-GGA relaxed
# - magnetization (μB/f.u.) = 0.75
# - E_tot (eV/cell) = -25.2
data_BaSr2Ho
_space_group_name_H-M_alt 'R -3 m'
_space_group_IT_number 166
_space_group_name_Hall '-R 3 2"'
_cell_length_a 3.9256
_cell_length_b 3.9256
_cell_length_c 42.9896
_cell_angle_alpha 90.00
_cell_angle_beta 90.00
_cell_angle_gamma 120.00
loop_
_atom_site_label
_atom_site_fract_x
_atom_site_fract_y
_atom_site_fract_z
Ba1 0.0000 0.0000 0.0000
Sr1 0.0000 0.0000 0.4177
Ho1 0.0000 0.0000 0.5000

=====

[3]
# CsAgS3 PBE-GGA relaxed
# - magnetization (μB/f.u.) = 1.59
# - uncorrected formation energy (eV per formula unit) = 6.61
data_CsAgS3
_space_group_name_H-M_alt 'P m -3 m'
_space_group_IT_number 221
_space_group_name_Hall '-P 4 2 3'
_cell_length_a 5.6029
_cell_length_b 5.6029
_cell_length_c 5.6029
_cell_angle_alpha 90.00
_cell_angle_beta 90.00
_cell_angle_gamma 90.00
loop_
_atom_site_label
_atom_site_fract_x
_atom_site_fract_y
_atom_site_fract_z
Cs1 0.0000 0.0000 0.0000
Ag1 0.5000 0.5000 0.5000
S1 0.0000 0.0000 0.5000

=====

[4]
# BeH2PbF8 PBE-GGA relaxed
# - magnetization (μB/f.u.) = 0.00
# - E_tot (eV/cell) = -53.2
data_BeH2PbF8
_space_group_name_H-M_alt 'P -1'
_space_group_IT_number 2
_cell_length_a 4.5541
_cell_length_b 4.8965
_cell_length_c 6.1903
_cell_angle_alpha 88.93
_cell_angle_beta 84.69
_cell_angle_gamma 79.98
loop_
_space_group_symop_operation_xyz
'x,y,z'
'-x,-y,-z'
loop_
_atom_site_label
_atom_site_fract_x
_atom_site_fract_y
_atom_site_fract_z
Be1 0.0000 0.0000 0.0000
H1 0.4401 0.2344 0.8880
Pb1 0.0000 0.0000 0.5000
F1 0.1947 0.8207 0.7874
F2 0.2376 0.2618 0.9688
F3 0.2498 0.8120 0.1958
F4 0.2787 0.2793 0.4967

=====

| no. | N(E_F) (states/eV per cell) |
| --- | --- |
| 1 | 5.07 |
| 2 | 15.73 |
| 3 | 6.63 |
| 4 | 0.00 |